Record 1
TbSmAu4 after structural relaxation, computed with PBE-GGA.

```
TbSmAu4
1.0
3.7653 0.0000 0.0000
0.0000 3.7653 0.0000
0.0000 0.0000 9.1085
Au Sm Tb
4 1 1
Direct
0.0000 0.0000 0.1630 Au
0.5000 0.5000 0.6689 Au
0.0000 0.0000 0.8370 Au
0.5000 0.5000 0.3311 Au
0.0000 0.0000 0.5000 Sm
0.5000 0.5000 0.0000 Tb
```

ΔE_f: -5.02 eV per formula unit

Record 2
SmThAu after structural relaxation, computed with PBE-GGA.

```
SmThAu
1.0
0.0000 3.5005 3.5005
3.5005 0.0000 3.5005
3.5005 3.5005 0.0000
Th Sm Au
1 1 1
Direct
0.7500 0.7500 0.7500 Th
0.0000 0.0000 0.0000 Sm
0.2500 0.2500 0.2500 Au
```

ΔE_f: 0.91 eV per formula unit

Record 3
SmTlAu after structural relaxation, computed with PBE-GGA.

```
SmTlAu
1.0
-4.2992 2.4433 -1.5472
2.2449 -3.4952 -3.0969
-3.5786 -4.6304 2.6317
Sm Tl Au
2 2 2
Direct
0.3336 0.6664 0.7500 Sm
0.6664 0.3336 0.2500 Sm
0.0000 0.0000 0.0000 Tl
0.0000 0.0000 0.5000 Tl
0.6671 0.3329 0.7500 Au
0.3329 0.6671 0.2500 Au
```

VASP energy: -4.06 eV per atom

Record 4
SmTmAu2 after structural relaxation, computed with PBE-GGA.

```
SmTmAu2
1.0
4.6706 0.0000 0.0000
0.0000 1.8636 5.4953
0.0000 -1.8636 5.4953
Sm Au Tm
1 2 1
Direct
0.5000 0.3602 0.3602 Sm
0.0000 0.9112 0.9112 Au
0.5000 0.0891 0.0891 Au
0.0000 0.6396 0.6396 Tm
```

ΔE_f: -3.44 eV per formula unit

Record 5
SmYAu after structural relaxation, computed with PBE-GGA.

```
SmYAu
1.0
0.0000 3.5354 3.5354
3.5354 0.0000 3.5354
3.5354 3.5354 0.0000
Y Sm Au
1 1 1
Direct
0.7500 0.7500 0.7500 Y
0.2500 0.2500 0.2500 Sm
0.0000 0.0000 0.0000 Au
```

ΔE_f: -1.26 eV per formula unit
Energy above the lowest structure with this stoichiometry: 0.00 eV per formula unit

Record 6
SmYAu6 after structural relaxation, computed with PBE-GGA.

```
SmYAu6
1.0
-3.4992 3.5572 0.8542
0.2237 -1.2511 6.1261
3.7276 3.5266 0.5841
Sm Au Y
1 6 1
Direct
0.0000 0.0000 0.8421 Sm
0.5000 0.7532 0.6611 Au
0.0000 0.7388 0.3374 Au
0.5000 0.0000 0.1740 Au
0.5000 0.2468 0.6611 Au
0.0000 0.2612 0.3374 Au
0.0000 0.5000 0.8317 Au
0.5000 0.5000 0.1551 Y
```

ΔE_f: -5.66 eV per formula unit